Version i
Computed, not measured: an optimized crystal structure of NaScBiIr at the PBE level of DFT.

Properties
Space-group type = F-43m
Volume = 81.5 Å³/cell

Lattice parameters (Å, degrees): 4.867 4.867 4.867 60.00 60.00 60.00
Positions (direct):
Na 0.750 0.750 0.750
Bi 0.500 0.500 0.500
Sc 0.250 0.250 0.250
Ir 0.000 0.000 0.000

***

Version ii
Computed, not measured: an optimized crystal structure of NaScBiIr at the PBE level of DFT.

Properties
Space-group type = F-43m
Volume = 77.5 Å³/cell

Lattice parameters (Å, degrees): 4.786 4.786 4.786 60.00 60.00 60.00
Positions (direct):
Sc 0.500 0.500 0.500
Ir 0.250 0.250 0.250
Bi 0.000 0.000 0.000
Na 0.750 0.750 0.750

***

Question: of the structures shown, which is the least stable? Reply: version i.